(1)
A plane-wave DFT calculation with PBE was carried out for crystalline Hf2MoHAu at its relaxed geometry.

Output
Magnetic moment: 0.0000 μB per atom
Symmetry: No. 123
Total energy: -7.769 eV per atom
Calculated volume: 77 Å³/cell

Cell lengths 4.615, 4.615, 3.636 Å; angles 90.00, 90.00, 90.00 degrees
Atoms (fractional coordinates):
Hf1 0.000 0.500 0.000
Hf2 0.500 0.000 0.000
Au1 0.500 0.500 0.500
H1 0.000 0.000 0.000
Mo1 0.000 0.000 0.500

=====

(2)
A plane-wave DFT calculation with PBE was carried out for crystalline BaF at its relaxed geometry.

Output
Magnetic moment: 0.1050 μB per atom
Symmetry: No. 223
Total energy: -4.515 eV per atom
Calculated volume: 437 Å³/cell
Raw formation energy: -2.618 eV/atom

Cell lengths 7.591, 7.591, 7.591 Å; angles 90.00, 90.00, 90.00 degrees
Atoms (fractional coordinates):
F1 0.750 0.500 0.000
F2 0.250 0.500 0.000
Ba1 0.000 0.500 0.250
Ba2 0.500 0.750 0.000
Ba3 0.750 0.000 0.500
F3 0.500 0.000 0.250
F4 0.000 0.250 0.500
Ba4 0.250 0.000 0.500
Ba5 0.500 0.250 0.000
F5 0.500 0.000 0.750
F6 0.000 0.750 0.500
Ba6 0.000 0.500 0.750

=====

(3)
A plane-wave DFT calculation with PBE was carried out for crystalline Ir3RuN at its relaxed geometry.

Output
Magnetic moment: 0.6361 μB per atom
Symmetry: No. 221
Total energy: -5.868 eV per atom
Offset from the most stable computed form: 209.4 kJ per mole of atoms
Calculated volume: 105 Å³/cell
Raw formation energy: 2.969 eV/atom

Cell lengths 4.712, 4.712, 4.712 Å; angles 90.00, 90.00, 90.00 degrees
Each line ends with the local moment (μB).
Atoms (fractional coordinates):
Ir1 0.000 0.500 0.000  0.31
Ir2 0.000 0.000 0.500  0.27
N1 0.500 0.500 0.500  1.61
Ru1 0.000 0.000 0.000  0.00
Ir3 0.500 0.000 0.000  0.27

=====

(4)
A plane-wave DFT calculation with PBE was carried out for crystalline Np3TaTl3Se8 at its relaxed geometry.

Output
Magnetic moment: 0.8671 μB per atom
Symmetry: No. 12
Total energy: -6.625 eV per atom
Calculated volume: 453 Å³/cell
Raw formation energy: -0.915 eV/atom

Cell lengths 8.094, 8.096, 9.258 Å; angles 115.94, 90.00, 119.99 degrees
Each line ends with the local moment (μB).
Atoms (fractional coordinates):
Se1 0.221 0.978 0.696  -0.06
Ta1 0.000 0.000 0.500  0.76
Se2 0.243 0.022 0.304  -0.06
Tl1 0.500 0.500 0.000  0.00
Np1 0.000 0.500 0.500  3.88
Se3 0.264 0.528 0.290  -0.08
Tl2 0.000 0.000 0.000  0.00
Se4 0.780 0.560 0.303  -0.06
Np2 0.500 0.000 0.500  3.88
Se5 0.757 0.978 0.696  -0.06
Se6 0.779 0.022 0.304  -0.06
Tl3 0.000 0.500 0.000  0.00
Np3 0.500 0.500 0.500  3.88
Se7 0.220 0.440 0.697  -0.06
Se8 0.736 0.472 0.710  -0.08

=====

(5)
A plane-wave DFT calculation with PBE was carried out for crystalline CoSiCl at its relaxed geometry.

Output
Magnetic moment: 0.0269 μB per atom
Symmetry: No. 156
Total energy: -4.819 eV per atom
Offset from the most stable computed form: 0.0 kJ per mole of atoms
Calculated volume: 53 Å³/cell
Raw formation energy: -0.028 eV/atom

Cell lengths 3.410, 3.410, 5.234 Å; angles 90.00, 90.00, 120.00 degrees
Each line ends with the local moment (μB).
Atoms (fractional coordinates):
Cl1 0.000 0.000 0.080  0.00
Co1 0.333 0.667 0.370  0.10
Si1 0.667 0.333 0.550  -0.01

=====

(6)
A plane-wave DFT calculation with PBE was carried out for crystalline TbPmNd2Sm at its relaxed geometry.

Output
Magnetic moment: 0.0000 μB per atom
Symmetry: No. 13
Total energy: -4.473 eV per atom
Calculated volume: 350 Å³/cell

Cell lengths 6.756, 8.228, 6.297 Å; angles 90.12, 90.00, 90.00 degrees
Atoms (fractional coordinates):
Nd1 0.304 0.696 0.251
Nd2 0.696 0.696 0.751
Nd3 0.696 0.304 0.749
Nd4 0.304 0.304 0.249
Sm1 0.000 0.000 0.000
Tb1 0.162 0.500 0.750
Pm1 0.422 0.000 0.750
Sm2 0.000 0.000 0.500
Pm2 0.578 0.000 0.250
Tb2 0.838 0.500 0.250